# PBEsol PtSe4Cl, optimized geometry
data_PtSe4Cl
_chemical_formula_sum 'Pt1 Se4 Cl1'
_space_group_name_H-M_alt 'P 1'
_space_group_IT_number 1
_cell_length_a 5.475
_cell_length_b 5.475
_cell_length_c 5.475
_cell_angle_alpha 60.00
_cell_angle_beta 60.00
_cell_angle_gamma 60.00
loop_
_space_group_symop_operation_xyz
'x,y,z'
loop_
_atom_site_label
_atom_site_type_symbol
_atom_site_fract_x
_atom_site_fract_y
_atom_site_fract_z
Se1 Se 0.374 0.374 0.374
Se2 Se 0.374 0.374 0.877
Se3 Se 0.877 0.374 0.374
Se4 Se 0.374 0.877 0.374
Pt1 Pt 0.000 0.000 0.000
Cl1 Cl 0.750 0.750 0.750
# Total DFT energy (no corrections) ... -3.34 eV/atom
# Total moment ... 0.00 μB/cell